Density functional theory data (GGA-PBE) for a relaxed RbHoGeTe3 crystal.

Cell lengths 9.426, 4.303, 11.857 Å; angles 90.00, 110.98, 90.00 degrees
Space group P2_1/m (No. 11)
Inequivalent atoms, fractional coordinates:
Rb 0.228 0.250 0.279 [2 per cell]
Ho 0.367 0.750 0.841 [2 per cell]
Ge 0.117 0.250 0.554 [2 per cell]
Te 0.115 0.250 0.780 [2 per cell]
Te 0.325 0.750 0.569 [2 per cell]
Te 0.388 0.750 0.104 [2 per cell]

Output
energy above the most stable polymorph in this dataset	0	meV/atom
V	449	Å³ per cell
crystal system	monoclinic

Density functional theory data (GGA-PBE) for a relaxed RbHoGeTe3 crystal.

Cell lengths 4.632, 16.111, 12.079 Å; angles 90.00, 90.00, 90.00 degrees
Space group Cmcm (No. 63)
Inequivalent atoms, fractional coordinates:
Rb 0.000 0.248 0.250 [4 per cell]
Ho 0.000 0.000 0.000 [4 per cell]
Ge 0.000 0.461 0.750 [4 per cell]
Te 0.000 0.063 0.750 [4 per cell]
Te 0.000 0.373 0.542 [8 per cell]

Output
energy above the most stable polymorph in this dataset	96	meV/atom
V	901	Å³ per cell
crystal system	orthorhombic

Density functional theory data (GGA-PBE) for a relaxed Ho3Ge4Sb4 crystal.

Cell lengths 3.907, 8.754, 16.054 Å; angles 90.00, 90.00, 90.00 degrees
Space group Immm (No. 71)
Inequivalent atoms, fractional coordinates:
Ho 0.000 0.000 0.000 [2 per cell]
Ho 0.000 0.500 0.129 [4 per cell]
Ge 0.000 0.258 0.321 [8 per cell]
Sb 0.000 0.000 0.192 [4 per cell]
Sb 0.000 0.208 0.500 [4 per cell]

Output
E_tot	-4.69	eV per atom
V	549	Å³ per cell
crystal system	orthorhombic

Density functional theory data (GGA-PBE) for a relaxed HoGeSb crystal.

Cell lengths 7.067, 7.067, 7.067 Å; angles 90.00, 90.00, 90.00 degrees
Space group F-43m (No. 216)
Inequivalent atoms, fractional coordinates:
Ho 0.000 0.000 0.000 [4 per cell]
Ge 0.000 0.000 0.500 [4 per cell]
Sb 0.250 0.250 0.750 [4 per cell]

Output
E_tot	-4.56	eV per atom
V	353	Å³ per cell
crystal system	cubic

Density functional theory data (GGA-PBE) for a relaxed HoTlGeSe3 crystal.

Cell lengths 4.353, 14.401, 11.292 Å; angles 90.00, 90.00, 90.00 degrees
Space group Cmcm (No. 63)
Inequivalent atoms, fractional coordinates:
Ho 0.000 0.000 0.000 [4 per cell]
Tl 0.000 0.271 0.250 [4 per cell]
Ge 0.000 0.450 0.750 [4 per cell]
Se 0.000 0.060 0.750 [4 per cell]
Se 0.000 0.369 0.539 [8 per cell]

Output
energy above the most stable polymorph in this dataset	146	meV/atom
V	708	Å³ per cell
crystal system	orthorhombic

Density functional theory data (GGA-PBE) for a relaxed HoTlGeSe3 crystal.

Cell lengths 8.513, 4.021, 10.980 Å; angles 90.00, 107.23, 90.00 degrees
Space group P2_1/m (No. 11)
Inequivalent atoms, fractional coordinates:
Ho 0.140 0.250 0.157 [2 per cell]
Tl 0.262 0.750 0.724 [2 per cell]
Ge 0.367 0.750 0.442 [2 per cell]
Se 0.110 0.250 0.893 [2 per cell]
Se 0.160 0.250 0.423 [2 per cell]
Se 0.391 0.750 0.220 [2 per cell]

Output
energy above the most stable polymorph in this dataset	0	meV/atom
V	359	Å³ per cell
crystal system	monoclinic

Density functional theory data (GGA-PBE) for a relaxed Ho2SiGe crystal.

Cell lengths 3.878, 4.259, 10.578 Å; angles 90.00, 90.00, 90.00 degrees
Space group Amm2 (No. 38)
Inequivalent atoms, fractional coordinates:
Ho 0.000 0.000 0.000 [2 per cell]
Ho 0.500 0.000 0.279 [2 per cell]
Si 0.500 0.000 0.557 [2 per cell]
Ge 0.000 0.000 0.720 [2 per cell]

Output
E_tot	-5.64	eV per atom
V	175	Å³ per cell
crystal system	orthorhombic

Density functional theory data (GGA-PBE) for a relaxed HoSi2Ge2 crystal.

Cell lengths 4.841, 4.841, 8.510 Å; angles 90.00, 90.00, 90.00 degrees
Space group I4/mmm (No. 139)
Inequivalent atoms, fractional coordinates:
Ho 0.000 0.000 0.000 [2 per cell]
Si 0.000 0.500 0.250 [4 per cell]
Ge 0.000 0.000 0.351 [4 per cell]

Output
E_tot	-4.93	eV per atom
V	199	Å³ per cell
crystal system	tetragonal

Density functional theory data (GGA-PBE) for a relaxed HoSi6Ge2 crystal.

Cell lengths 10.960, 4.186, 8.223 Å; angles 90.00, 123.23, 90.00 degrees
Space group C2/m (No. 12)
Inequivalent atoms, fractional coordinates:
Ho 0.000 0.000 0.000 [2 per cell]
Si 0.057 0.000 0.407 [4 per cell]
Si 0.160 0.500 0.620 [4 per cell]
Si 0.178 0.500 0.928 [4 per cell]
Ge 0.167 0.500 0.297 [4 per cell]

Output
E_tot	-5.05	eV per atom
V	316	Å³ per cell
crystal system	monoclinic

Density functional theory data (GGA-PBE) for a relaxed HoSiGeW4 crystal.

Cell lengths 3.424, 4.365, 16.164 Å; angles 90.00, 90.00, 90.00 degrees
Space group Amm2 (No. 38)
Inequivalent atoms, fractional coordinates:
Ho 0.000 0.000 0.000 [2 per cell]
Si 0.500 0.000 0.426 [2 per cell]
Ge 0.500 0.000 0.575 [2 per cell]
W 0.000 0.000 0.315 [2 per cell]
W 0.000 0.000 0.693 [2 per cell]
W 0.500 0.000 0.179 [2 per cell]
W 0.500 0.000 0.829 [2 per cell]

Output
E_tot	-9.63	eV per atom
V	242	Å³ per cell
crystal system	orthorhombic

Density functional theory data (GGA-PBE) for a relaxed Ho2SnGe crystal.

Cell lengths 4.110, 4.384, 11.060 Å; angles 90.00, 90.00, 90.00 degrees
Space group Amm2 (No. 38)
Inequivalent atoms, fractional coordinates:
Ho 0.000 0.000 0.000 [2 per cell]
Ho 0.500 0.000 0.276 [2 per cell]
Sn 0.500 0.000 0.555 [2 per cell]
Ge 0.000 0.000 0.735 [2 per cell]

Output
E_tot	-5.20	eV per atom
V	199	Å³ per cell
crystal system	orthorhombic

Density functional theory data (GGA-PBE) for a relaxed TbHoSn2Ge2 crystal.

Cell lengths 4.072, 4.289, 16.311 Å; angles 90.00, 90.00, 90.00 degrees
Space group Amm2 (No. 38)
Inequivalent atoms, fractional coordinates:
Tb 0.000 0.000 0.000 [2 per cell]
Ho 0.500 0.000 0.188 [2 per cell]
Sn 0.000 0.000 0.348 [2 per cell]
Sn 0.500 0.000 0.839 [2 per cell]
Ge 0.000 0.000 0.648 [2 per cell]
Ge 0.500 0.000 0.541 [2 per cell]

Output
E_tot	-5.04	eV per atom
V	285	Å³ per cell
crystal system	orthorhombic